Record 1
Entry from Alexandria: crystalline HoScPdRu at its relaxed geometry (PBE).

Calculated values
The calculation puts the energy relative to the lowest polymorph listed for this composition at 0.047 eV per atom. As for the crystal system: cubic. The value obtained for the total magnetization is 0.000 μB per cell. Its density is 9.26 g/cm³. The value obtained for the total energy is -7.046 eV per atom. The value obtained for the energy of formation from the pure elements is -0.702 eV per atom.

Geometry as CIF:
```
data_HoScPdRu
_symmetry_space_group_name_H-M 'F -4 3 m'
_symmetry_Int_Tables_number 216
_symmetry_space_group_name_Hall 'F -4 2 3'
_cell_length_a 6.689
_cell_length_b 6.689
_cell_length_c 6.689
_cell_angle_alpha 90.00
_cell_angle_beta 90.00
_cell_angle_gamma 90.00
loop_
_atom_site_label
_atom_site_type_symbol
_atom_site_fract_x
_atom_site_fract_y
_atom_site_fract_z
_atom_site_occupancy
Ho1 Ho 0.000 0.000 0.000 1
Sc1 Sc 0.000 0.000 0.500 1
Pd1 Pd 0.250 0.250 0.750 1
Ru1 Ru 0.250 0.250 0.250 1
```



Record 2
Entry from Alexandria: crystalline HoScPdRu at its relaxed geometry (PBE).

Calculated values
The calculation puts the energy relative to the lowest polymorph listed for this composition at 0.000 eV per atom. As for the crystal system: tetragonal. The value obtained for the total magnetization is 0.000 μB per cell. Its density is 9.24 g/cm³. The value obtained for the total energy is -7.093 eV per atom. The value obtained for the energy of formation from the pure elements is -0.748 eV per atom.

Geometry as CIF:
```
data_HoScPdRu
_symmetry_space_group_name_H-M 'P 4 m m'
_symmetry_Int_Tables_number 99
_cell_length_a 3.356
_cell_length_b 3.356
_cell_length_c 6.657
_cell_angle_alpha 90.00
_cell_angle_beta 90.00
_cell_angle_gamma 90.00
loop_
_symmetry_equiv_pos_as_xyz
'x,y,z'
'-y,x,z'
'-x,-y,z'
'y,-x,z'
'-x,y,z'
'y,x,z'
'x,-y,z'
'-y,-x,z'
loop_
_atom_site_label
_atom_site_type_symbol
_atom_site_fract_x
_atom_site_fract_y
_atom_site_fract_z
_atom_site_occupancy
Ho1 Ho 0.000 0.000 0.000 1
Sc1 Sc 0.000 0.000 0.520 1
Pd1 Pd 0.500 0.500 0.273 1
Ru1 Ru 0.500 0.500 0.744 1
```



Record 3
Entry from Alexandria: crystalline HoSi2PdRu at its relaxed geometry (PBE).

Calculated values
As for the crystal system: tetragonal. The value obtained for the total magnetization is 0.000 μB per cell. Its density is 8.54 g/cm³. The value obtained for the total energy is -6.886 eV per atom. The formation energy (no corrections) is -4.54 eV/f.u.

Geometry as CIF:
```
data_HoSi2PdRu
_symmetry_space_group_name_H-M 'I -4 m 2'
_symmetry_Int_Tables_number 119
_symmetry_space_group_name_Hall 'I -4 -2'
_cell_length_a 4.073
_cell_length_b 4.073
_cell_length_c 10.045
_cell_angle_alpha 90.00
_cell_angle_beta 90.00
_cell_angle_gamma 90.00
loop_
_atom_site_label
_atom_site_type_symbol
_atom_site_fract_x
_atom_site_fract_y
_atom_site_fract_z
_atom_site_occupancy
Ho1 Ho 0.000 0.000 0.000 1
Si1 Si 0.000 0.000 0.380 1
Pd1 Pd 0.000 0.500 0.250 1
Ru1 Ru 0.000 0.500 0.750 1
```



Record 4
Entry from Alexandria: crystalline HoSnPdRu at its relaxed geometry (PBE).

Calculated values
As for the crystal system: cubic. The value obtained for the total magnetization is 0.000 μB per cell. Its density is 10.96 g/cm³. The value obtained for the total energy is -6.336 eV per atom. The value obtained for the energy of formation from the pure elements is -0.574 eV per atom.

Geometry as CIF:
```
data_HoSnPdRu
_symmetry_space_group_name_H-M 'F -4 3 m'
_symmetry_Int_Tables_number 216
_symmetry_space_group_name_Hall 'F -4 2 3'
_cell_length_a 6.677
_cell_length_b 6.677
_cell_length_c 6.677
_cell_angle_alpha 90.00
_cell_angle_beta 90.00
_cell_angle_gamma 90.00
loop_
_atom_site_label
_atom_site_type_symbol
_atom_site_fract_x
_atom_site_fract_y
_atom_site_fract_z
_atom_site_occupancy
Ho1 Ho 0.000 0.000 0.000 1
Sn1 Sn 0.000 0.000 0.500 1
Pd1 Pd 0.250 0.250 0.250 1
Ru1 Ru 0.250 0.250 0.750 1
```



Record 5
Entry from Alexandria: crystalline TbHoPdRu at its relaxed geometry (PBE).

Calculated values
The calculation puts the energy relative to the lowest polymorph listed for this composition at 0.034 eV per atom. As for the crystal system: cubic. The value obtained for the total magnetization is 0.000 μB per cell. Its density is 10.76 g/cm³. The value obtained for the total energy is -6.564 eV per atom. The value obtained for the energy of formation from the pure elements is -0.645 eV per atom.

Geometry as CIF:
```
data_TbHoPdRu
_symmetry_space_group_name_H-M 'F -4 3 m'
_symmetry_Int_Tables_number 216
_symmetry_space_group_name_Hall 'F -4 2 3'
_cell_length_a 6.896
_cell_length_b 6.896
_cell_length_c 6.896
_cell_angle_alpha 90.00
_cell_angle_beta 90.00
_cell_angle_gamma 90.00
loop_
_atom_site_label
_atom_site_type_symbol
_atom_site_fract_x
_atom_site_fract_y
_atom_site_fract_z
_atom_site_occupancy
Tb1 Tb 0.000 0.000 0.000 1
Ho1 Ho 0.000 0.000 0.500 1
Pd1 Pd 0.250 0.250 0.750 1
Ru1 Ru 0.250 0.250 0.250 1
```



Record 6
Entry from Alexandria: crystalline TbHoPdRu at its relaxed geometry (PBE).

Calculated values
The calculation puts the energy relative to the lowest polymorph listed for this composition at 0.000 eV per atom. As for the crystal system: tetragonal. The value obtained for the total magnetization is 0.000 μB per cell. Its density is 10.71 g/cm³. The value obtained for the total energy is -6.598 eV per atom. The value obtained for the energy of formation from the pure elements is -0.679 eV per atom.

Geometry as CIF:
```
data_TbHoPdRu
_symmetry_space_group_name_H-M 'P 4 m m'
_symmetry_Int_Tables_number 99
_cell_length_a 3.445
_cell_length_b 3.445
_cell_length_c 6.940
_cell_angle_alpha 90.00
_cell_angle_beta 90.00
_cell_angle_gamma 90.00
loop_
_symmetry_equiv_pos_as_xyz
'x,y,z'
'-y,x,z'
'-x,-y,z'
'y,-x,z'
'-x,y,z'
'y,x,z'
'x,-y,z'
'-y,-x,z'
loop_
_atom_site_label
_atom_site_type_symbol
_atom_site_fract_x
_atom_site_fract_y
_atom_site_fract_z
_atom_site_occupancy
Tb1 Tb 0.000 0.000 0.000 1
Ho1 Ho 0.000 0.000 0.520 1
Pd1 Pd 0.500 0.500 0.264 1
Ru1 Ru 0.500 0.500 0.758 1
```



Record 7
Entry from Alexandria: crystalline HoThPdRu at its relaxed geometry (PBE).

Calculated values
As for the crystal system: cubic. The value obtained for the total magnetization is 0.000 μB per cell. Its density is 11.47 g/cm³. The value obtained for the total energy is -7.215 eV per atom. The value obtained for the energy of formation from the pure elements is -0.598 eV per atom.

Geometry as CIF:
```
data_HoThPdRu
_symmetry_space_group_name_H-M 'F -4 3 m'
_symmetry_Int_Tables_number 216
_symmetry_space_group_name_Hall 'F -4 2 3'
_cell_length_a 7.048
_cell_length_b 7.048
_cell_length_c 7.048
_cell_angle_alpha 90.00
_cell_angle_beta 90.00
_cell_angle_gamma 90.00
loop_
_atom_site_label
_atom_site_type_symbol
_atom_site_fract_x
_atom_site_fract_y
_atom_site_fract_z
_atom_site_occupancy
Ho1 Ho 0.000 0.000 0.000 1
Th1 Th 0.000 0.000 0.500 1
Pd1 Pd 0.250 0.250 0.250 1
Ru1 Ru 0.250 0.250 0.750 1
```



Record 8
Entry from Alexandria: crystalline HoTlPdRu at its relaxed geometry (PBE).

Calculated values
As for the crystal system: cubic. The value obtained for the total magnetization is 0.000 μB per cell. Its density is 12.59 g/cm³. The value obtained for the total energy is -5.663 eV per atom. The value obtained for the energy of formation from the pure elements is -0.310 eV per atom.

Geometry as CIF:
```
data_HoTlPdRu
_symmetry_space_group_name_H-M 'F -4 3 m'
_symmetry_Int_Tables_number 216
_symmetry_space_group_name_Hall 'F -4 2 3'
_cell_length_a 6.727
_cell_length_b 6.727
_cell_length_c 6.727
_cell_angle_alpha 90.00
_cell_angle_beta 90.00
_cell_angle_gamma 90.00
loop_
_atom_site_label
_atom_site_type_symbol
_atom_site_fract_x
_atom_site_fract_y
_atom_site_fract_z
_atom_site_occupancy
Ho1 Ho 0.000 0.000 0.000 1
Tl1 Tl 0.000 0.000 0.500 1
Pd1 Pd 0.250 0.250 0.750 1
Ru1 Ru 0.250 0.250 0.250 1
```



Record 9
Entry from Alexandria: crystalline HoTmPdRu at its relaxed geometry (PBE).

Calculated values
The calculation puts the energy relative to the lowest polymorph listed for this composition at 0.037 eV per atom. As for the crystal system: cubic. The value obtained for the total magnetization is 0.000 μB per cell. Its density is 11.27 g/cm³. The value obtained for the total energy is -6.578 eV per atom. The value obtained for the energy of formation from the pure elements is -0.699 eV per atom.

Geometry as CIF:
```
data_HoTmPdRu
_symmetry_space_group_name_H-M 'F -4 3 m'
_symmetry_Int_Tables_number 216
_symmetry_space_group_name_Hall 'F -4 2 3'
_cell_length_a 6.832
_cell_length_b 6.832
_cell_length_c 6.832
_cell_angle_alpha 90.00
_cell_angle_beta 90.00
_cell_angle_gamma 90.00
loop_
_atom_site_label
_atom_site_type_symbol
_atom_site_fract_x
_atom_site_fract_y
_atom_site_fract_z
_atom_site_occupancy
Ho1 Ho 0.000 0.000 0.000 1
Tm1 Tm 0.000 0.000 0.500 1
Pd1 Pd 0.250 0.250 0.250 1
Ru1 Ru 0.250 0.250 0.750 1
```



Record 10
Entry from Alexandria: crystalline Ho3Tm3PdRu2 at its relaxed geometry (PBE).

Calculated values
As for the crystal system: hexagonal. The value obtained for the total magnetization is 0.000 μB per cell. Its density is 10.18 g/cm³. The value obtained for the total energy is -6.057 eV per atom. The value obtained for the energy of formation from the pure elements is -0.402 eV per atom.

Geometry as CIF:
```
data_Ho3Tm3PdRu2
_symmetry_space_group_name_H-M 'P -6 2 m'
_symmetry_Int_Tables_number 189
_symmetry_space_group_name_Hall 'P -6 -2'
_cell_length_a 7.2578
_cell_length_b 7.2578
_cell_length_c 4.6834
_cell_angle_alpha 90.00
_cell_angle_beta 90.00
_cell_angle_gamma 120.00
loop_
_atom_site_label
_atom_site_type_symbol
_atom_site_fract_x
_atom_site_fract_y
_atom_site_fract_z
_atom_site_occupancy
Ho1 Ho 0.0000 0.7326 0.0000 1
Tm1 Tm 0.0000 0.4143 0.5000 1
Pd1 Pd 0.0000 0.0000 0.5000 1
Ru1 Ru 0.3333 0.6667 0.0000 1
```



Record 11
Entry from Alexandria: crystalline HoTmPdRu at its relaxed geometry (PBE).

Calculated values
The calculation puts the energy relative to the lowest polymorph listed for this composition at 0.000 eV per atom. As for the crystal system: tetragonal. The value obtained for the total magnetization is 0.000 μB per cell. Its density is 11.23 g/cm³. The value obtained for the total energy is -6.615 eV per atom. The value obtained for the energy of formation from the pure elements is -0.736 eV per atom.

Geometry as CIF:
```
data_HoTmPdRu
_symmetry_space_group_name_H-M 'P 4 m m'
_symmetry_Int_Tables_number 99
_cell_length_a 3.423
_cell_length_b 3.423
_cell_length_c 6.835
_cell_angle_alpha 90.00
_cell_angle_beta 90.00
_cell_angle_gamma 90.00
loop_
_symmetry_equiv_pos_as_xyz
'x,y,z'
'-y,x,z'
'-x,-y,z'
'y,-x,z'
'-x,y,z'
'y,x,z'
'x,-y,z'
'-y,-x,z'
loop_
_atom_site_label
_atom_site_type_symbol
_atom_site_fract_x
_atom_site_fract_y
_atom_site_fract_z
_atom_site_occupancy
Ho1 Ho 0.000 0.000 0.000 1
Tm1 Tm 0.000 0.000 0.519 1
Pd1 Pd 0.500 0.500 0.263 1
Ru1 Ru 0.500 0.500 0.757 1
```



Record 12
Entry from Alexandria: crystalline HoZnPdRu at its relaxed geometry (PBE).

Calculated values
As for the crystal system: cubic. The value obtained for the total magnetization is 0.000 μB per cell. Its density is 10.68 g/cm³. The value obtained for the total energy is -5.493 eV per atom. The value obtained for the energy of formation from the pure elements is -0.413 eV per atom.

Geometry as CIF:
```
data_HoZnPdRu
_symmetry_space_group_name_H-M 'F -4 3 m'
_symmetry_Int_Tables_number 216
_symmetry_space_group_name_Hall 'F -4 2 3'
_cell_length_a 6.482
_cell_length_b 6.482
_cell_length_c 6.482
_cell_angle_alpha 90.00
_cell_angle_beta 90.00
_cell_angle_gamma 90.00
loop_
_atom_site_label
_atom_site_type_symbol
_atom_site_fract_x
_atom_site_fract_y
_atom_site_fract_z
_atom_site_occupancy
Ho1 Ho 0.000 0.000 0.000 1
Zn1 Zn 0.000 0.000 0.500 1
Pd1 Pd 0.250 0.250 0.250 1
Ru1 Ru 0.250 0.250 0.750 1
```